# 1
Below is a geometry-optimized BaSm4Au5 structure, with properties calculated at the PBE level.

Cell lengths 3.728, 3.728, 18.834 Å; angles 90.00, 90.00, 90.00 degrees
Fractional coordinates of all 10 atoms:
Ba (0.000, 0.000, 0.000)
Sm (0.000, 0.000, 0.209)
Sm (0.000, 0.000, 0.404)
Sm (0.000, 0.000, 0.596)
Sm (0.000, 0.000, 0.791)
Au (0.500, 0.500, 0.125)
Au (0.500, 0.500, 0.307)
Au (0.500, 0.500, 0.500)
Au (0.500, 0.500, 0.693)
Au (0.500, 0.500, 0.875)

The value obtained for the calculated formation energy is -0.76 eV/atom. For the mass density, the calculation gives 10.94 g/cm³. The magnetization comes out at 0.00 μB per formula unit. The calculation puts the volume at 261.73 Å³ per cell. The density of states at the Fermi level comes out at 7.7 states/eV per cell.

# 2
Below is a geometry-optimized SmPu4Rh5 structure, with properties calculated at the PBE level.

Cell lengths 3.276, 3.276, 17.525 Å; angles 90.00, 90.00, 90.00 degrees
Fractional coordinates of all 10 atoms:
Sm (0.000, 0.000, 0.000)
Pu (0.000, 0.000, 0.209)
Pu (0.000, 0.000, 0.404)
Pu (0.000, 0.000, 0.596)
Pu (0.000, 0.000, 0.791)
Rh (0.500, 0.500, 0.120)
Rh (0.500, 0.500, 0.307)
Rh (0.500, 0.500, 0.500)
Rh (0.500, 0.500, 0.693)
Rh (0.500, 0.500, 0.880)

The value obtained for the calculated formation energy is 0.21 eV/atom. For the mass density, the calculation gives 14.49 g/cm³. The magnetization comes out at 0.00 μB per formula unit. The calculation puts the volume at 188.08 Å³ per cell. The density of states at the Fermi level comes out at 41.3 states/eV per cell.

# 3
Below is a geometry-optimized Ac2Sn3Au6 structure, with properties calculated at the PBE level.

Cell lengths 8.106, 8.106, 4.366 Å; angles 90.00, 90.00, 90.20 degrees
Fractional coordinates of all 11 atoms:
Ac (0.198, 0.802, 0.000)
Ac (0.802, 0.198, 0.000)
Sn (0.288, 0.288, 0.000)
Sn (0.500, 0.500, 0.500)
Sn (0.712, 0.712, 0.000)
Au (0.120, 0.120, 0.500)
Au (0.163, 0.498, 0.500)
Au (0.498, 0.163, 0.500)
Au (0.502, 0.837, 0.500)
Au (0.837, 0.502, 0.500)
Au (0.880, 0.880, 0.500)

The value obtained for the calculated formation energy is -0.46 eV/atom. For the mass density, the calculation gives 11.53 g/cm³. The magnetization comes out at 0.00 μB per formula unit. The calculation puts the volume at 286.86 Å³ per cell. The density of states at the Fermi level comes out at 3.7 states/eV per cell.

# 4
Below is a geometry-optimized Rb3VBr6 structure, with properties calculated at the PBE level.

Cell lengths 7.972, 8.285, 13.791 Å; angles 90.00, 124.00, 90.00 degrees
Fractional coordinates of all 20 atoms:
Rb (0.000, 0.000, 0.000)
Rb (0.000, 0.500, 0.500)
Rb (0.278, 0.072, 0.755)
Rb (0.278, 0.428, 0.255)
Rb (0.722, 0.572, 0.745)
Rb (0.722, 0.928, 0.245)
V (0.500, 0.000, 0.500)
V (0.500, 0.500, 0.000)
Br (0.189, 0.025, 0.289)
Br (0.189, 0.475, 0.789)
Br (0.290, 0.669, 0.052)
Br (0.290, 0.831, 0.552)
Br (0.394, 0.239, 0.055)
Br (0.394, 0.261, 0.555)
Br (0.606, 0.739, 0.445)
Br (0.606, 0.761, 0.945)
Br (0.710, 0.169, 0.448)
Br (0.710, 0.331, 0.948)
Br (0.811, 0.525, 0.211)
Br (0.811, 0.975, 0.711)

For the mass density, the calculation gives 3.46 g/cm³. Its polymorph energy (0 for the lowest one) is 0.0000 eV per atom. The magnetization comes out at 2.00 μB per formula unit. The calculation puts the volume at 755.17 Å³ per cell. The density of states at the Fermi level comes out at 23.2 states/eV per cell.

What are the raw total energy values for these records? In order: -44.82; -96.72; -44.98; -35.94 eV per formula unit.